Entry 1:
Material: Sr3CaCu2
Method: DFT, PBE
State: relaxed

Structure (extended XYZ):
```
12
Lattice="9.2618 -2.1544 0.0000 9.2618 2.1544 0.0000 -7.0977 0.0000 10.8359" Properties=species:S:1:pos:R:3 pbc="T T T"
Sr -1.5078 0.0000 4.7145
Sr -5.1287 0.0000 10.2633
Sr 4.4963 0.0000 2.7162
Sr 6.9295 0.0000 8.1197
Sr 16.5546 0.0000 0.5726
Sr 12.9337 0.0000 6.1213
Ca 0.9551 0.0000 8.0110
Ca 10.4707 0.0000 2.8249
Cu 1.6093 0.0000 4.9934
Cu -1.9489 0.0000 10.4261
Cu 13.3747 0.0000 0.4098
Cu 9.8165 0.0000 5.8425
```

Properties
symmetry: C2/m
ΔE_f: -0.08 eV per atom
density of states at the Fermi level: 9.57 states/eV per cell
E: -2.6165 eV per atom

Entry 2:
Material: Tb4SmHg
Method: DFT, PBE
State: relaxed

Structure (extended XYZ):
```
6
Lattice="3.6006 0.0000 0.0000 0.0000 3.6006 0.0000 0.0000 0.0000 14.0727" Properties=species:S:1:pos:R:3 pbc="T T T"
Tb 0.0000 0.0000 2.0057
Tb 0.0000 0.0000 12.0670
Tb 1.8003 1.8003 4.5076
Tb 1.8003 1.8003 9.5651
Sm 0.0000 0.0000 7.0363
Hg 1.8003 1.8003 0.0000
```

Properties
symmetry: P4/mmm
ΔE_f: -0.14 eV per atom
density of states at the Fermi level: 8.36 states/eV per cell
E: -4.0684 eV per atom
energy relative to the lowest polymorph listed for this composition: 0 meV/atom

Entry 3:
Material: BeCrFe2H
Method: DFT, PBE
State: relaxed

Structure (extended XYZ):
```
5
Lattice="3.4931 0.0000 0.0000 0.0000 3.4931 0.0000 0.0000 0.0000 3.6942" Properties=species:S:1:pos:R:3 pbc="T T T"
Be 0.0000 0.0000 0.0000
Cr 1.7465 1.7465 0.0000
Fe 0.0000 1.7465 1.8471
Fe 1.7465 0.0000 1.8471
H 1.7465 1.7465 1.8471
```

Properties
symmetry: P4/mmm
density of states at the Fermi level: 3.83 states/eV per cell
E: -6.6425 eV per atom
energy relative to the lowest polymorph listed for this composition: 0 meV/atom

Entry 4:
Material: BeVPbSe2
Method: DFT, PBE
State: relaxed

Structure (extended XYZ):
```
5
Lattice="4.8661 0.0000 0.0000 0.0000 4.8661 0.0000 0.0000 0.0000 4.4942" Properties=species:S:1:pos:R:3 pbc="T T T"
Be 0.0000 0.0000 0.0000
V 0.0000 0.0000 2.2471
Pb 2.4330 2.4330 0.0000
Se 0.0000 2.4330 2.2471
Se 2.4330 0.0000 2.2471
```

Properties
symmetry: P4/mmm
density of states at the Fermi level: 2.84 states/eV per cell
uncorrected formation energy: 174 meV/atom
E: -4.5302 eV per atom

> Which formula does entry 3 have?

BeCrFe2H

> The lowest E belongs to which entry?

BeCrFe2H

> E of number 1 (Sr3CaCu2)?

-2.6165 eV per atom

> Among the records above, which one has the highest density of states at the Fermi level?

Sr3CaCu2